# Na5TlHg2

A geometry-optimized Na5TlHg2 structure (PBE, Alexandria).

Formation energy in meV per atom: -72
ΔE to the lowest computed polymorph in kJ/mol of atoms: 8.3

Cell: 3.309 15.932 18.980 Å, 90.00 90.00 90.00°
Space group Cmcm (No. 63)
One atom of each set of equivalent atoms:
1 Na 0.000 0.029 0.144
2 Na 0.000 0.143 0.750
3 Na 0.000 0.256 0.091
4 Tl 0.000 0.180 0.250
5 Hg 0.000 0.096 0.514